(1)
The following is a PBE calculation of a relaxed Ba2InS crystal, from Alexandria via LeMat-Bulk.

Distance to the lowest polymorph of the same formula = 0.243 eV/atom
SG = No. 166

a = 4.2897 Å, b = 4.2897 Å, c = 11.1780 Å
α = 78.94°, β = 78.94°, γ = 60.00°
Last column: nearest neighbours and their distance in Å.
Atoms (fractional coordinates):
Ba 0.8903 0.8903 0.3291  3 S 3.10
Ba 0.1097 0.1097 0.6709  3 S 3.10
S 0.5000 0.5000 0.5000  6 Ba 3.10
In 0.0000 0.0000 0.0000  2 Ba 3.59

=====

(2)
The following is a PBE calculation of a relaxed BaIn2S4 crystal, from Alexandria via LeMat-Bulk.

SG = No. 63

a = 4.0713 Å, b = 6.8935 Å, c = 12.8794 Å
α = 90.00°, β = 90.00°, γ = 107.18°
Last column: nearest neighbours and their distance in Å.
Atoms (fractional coordinates):
In 0.1402 0.2803 0.0654  4 S 2.54-2.72
In 0.1402 0.2803 0.4346  4 S 2.54-2.72
In 0.8598 0.7197 0.5654  4 S 2.54-2.72
In 0.8598 0.7197 0.9346  4 S 2.54-2.72
S 0.2295 0.4590 0.6094  3 In 2.54-2.72
S 0.0693 0.1386 0.2500  2 In 2.55
S 0.7705 0.5410 0.1094  3 In 2.54-2.72
S 0.7705 0.5410 0.3906  3 In 2.54-2.72
S 0.5000 0.0000 0.0000  4 In 2.87
S 0.9307 0.8614 0.7500  2 In 2.55
S 0.2295 0.4590 0.8906  3 In 2.54-2.72
S 0.5000 0.0000 0.5000  4 In 2.87
Ba 0.6052 0.2103 0.7500  6 S 3.07-3.18
Ba 0.3948 0.7897 0.2500  6 S 3.07-3.18

=====

| no. | uncorrected formation energy (eV/f.u.) |
| --- | --- |
| 1 | -3.17 |
| 2 | -6.75 |